# 1
Density functional theory data (GGA-PBE) for a relaxed structure of Ti3NbO.

Cell lengths 5.3061, 4.7764, 5.8698 Å; angles 90.00, 96.54, 90.00 degrees
Positions (direct):
Ti 0.1430 0.0000 0.4860
Ti 0.1453 0.9295 0.9862
Ti 0.3478 0.4760 0.2930
Ti 0.6522 0.9760 0.7070
Ti 0.8547 0.4295 0.0138
Ti 0.8570 0.5000 0.5140
Nb 0.3546 0.4657 0.7966
Nb 0.6454 0.9657 0.2034
O 0.0031 0.7123 0.2511
O 0.9969 0.2123 0.7489

Properties
Excess energy over the best structure of this formula in the dataset ... 11 meV per atom
M_tot ... 0.00 Bohr magnetons per cell
Space group ... No. 4
Uncorrected formation energy ... -1.06 eV per atom

# 2
Density functional theory data (GGA-PBE) for a relaxed structure of TiNb2O7.

Cell lengths 7.6938, 10.5458, 11.4445 Å; angles 66.75, 80.31, 79.53 degrees
Positions (direct):
Ti 0.0000 0.0000 0.0000
Ti 0.0897 0.6449 0.0023
Ti 0.3580 0.2244 0.3774
Ti 0.4854 0.3333 0.7393
Ti 0.5915 0.6308 0.0153
Ti 0.7959 0.0747 0.7480
Nb 0.0444 0.4900 0.3594
Nb 0.2988 0.0738 0.7398
Nb 0.3928 0.6958 0.7469
Nb 0.4041 0.3739 0.0143
Nb 0.4281 0.8673 0.3739
Nb 0.5013 0.9975 0.0045
Nb 0.5369 0.4903 0.3769
Nb 0.8532 0.2146 0.3910
Nb 0.8870 0.7146 0.7421
Nb 0.9059 0.3740 0.0155
Nb 0.9336 0.8605 0.3573
Nb 0.9820 0.3382 0.7368
O 0.0027 0.6685 0.3622
O 0.0075 0.4169 0.5617
O 0.0299 0.1060 0.7788
O 0.0485 0.8220 0.9916
O 0.0711 0.5543 0.1770
O 0.0928 0.2702 0.3782
O 0.1302 0.6909 0.7988
O 0.1465 0.4277 0.9969
O 0.1901 0.8548 0.3796
O 0.2450 0.2851 0.7507
O 0.2565 0.0208 0.9552
O 0.3026 0.4361 0.3732
O 0.3203 0.1580 0.5657
O 0.3406 0.8873 0.7594
O 0.3576 0.6045 0.9736
O 0.3819 0.2917 0.1898
O 0.3993 0.0445 0.3892
O 0.4162 0.7577 0.5733
O 0.4329 0.4868 0.7899
O 0.4576 0.2231 0.9582
O 0.4686 0.9527 0.1794
O 0.4918 0.6708 0.3646
O 0.5088 0.4109 0.5675
O 0.5319 0.1042 0.7795
O 0.5485 0.8172 0.9958
O 0.5690 0.5518 0.1828
O 0.5913 0.2675 0.3797
O 0.6304 0.6913 0.7937
O 0.6447 0.4307 0.9979
O 0.6928 0.8470 0.3807
O 0.7410 0.2850 0.7517
O 0.7595 0.0217 0.9524
O 0.8008 0.4395 0.3731
O 0.8211 0.1572 0.5747
O 0.8385 0.8954 0.7580
O 0.8574 0.6055 0.9755
O 0.8824 0.2916 0.1896
O 0.8967 0.0374 0.3896
O 0.9189 0.7624 0.5715
O 0.9318 0.4924 0.7896
O 0.9557 0.2242 0.9581
O 0.9648 0.9530 0.1719

Properties
Excess energy over the best structure of this formula in the dataset ... 0 meV per atom
M_tot ... 0.00 Bohr magnetons per cell
Space group ... No. 1
Uncorrected formation energy ... -2.69 eV per atom

# 3
Density functional theory data (GGA-PBE) for a relaxed structure of Ti2NbO.

Cell lengths 2.6825, 2.6825, 7.5567 Å; angles 90.00, 90.00, 90.00 degrees
Positions (direct):
Ti 0.0000 0.0000 0.1808
Ti 0.0000 0.0000 0.8192
Nb 0.5000 0.5000 0.5000
O 0.5000 0.5000 0.0000

Properties
M_tot ... 0.00 Bohr magnetons per cell
Space group ... No. 123
Uncorrected formation energy ... -0.92 eV per atom